Entry 1:
Hf2ZrOs4 (PBE-GGA, optimized geometry); space-group type = No. 139; volume = 129 Å³/f.u.; total DFT energy (no corrections) = -10.38 eV/atom
1.0
-3.191 3.191 3.175
3.191 -3.191 3.175
3.191 3.191 -3.175
Hf Zr Os
2 1 4
Direct
0.000 0.500 0.500
0.500 0.000 0.500
0.000 0.000 0.000
0.000 0.000 0.500
0.000 0.500 0.000
0.500 0.000 0.000
0.500 0.500 0.500

---

Entry 2:
Hf6P5 (PBE-GGA, optimized geometry); space-group type = No. 12; volume = 208 Å³/f.u.; total DFT energy (no corrections) = -9.01 eV/atom
1.0
3.170 -5.483 0.000
3.170 5.483 0.000
-2.111 0.000 5.985
Hf P
6 5
Direct
0.073 0.418 0.749
0.243 0.243 0.260
0.418 0.073 0.749
0.582 0.927 0.251
0.757 0.757 0.740
0.927 0.582 0.251
0.000 0.000 0.500
0.165 0.835 0.000
0.333 0.667 0.500
0.667 0.333 0.500
0.835 0.165 0.000

---

Entry 3:
Hf27P16 (PBE-GGA, optimized geometry); space-group type = No. 71; volume = 762 Å³/f.u.; total DFT energy (no corrections) = -9.35 eV/atom
1.0
-1.767 9.322 11.564
1.767 -9.322 11.564
1.767 9.322 -11.564
Hf P
27 16
Direct
0.000 0.000 0.000
0.013 0.420 0.593
0.049 0.183 0.867
0.099 0.785 0.314
0.174 0.580 0.593
0.175 0.929 0.246
0.215 0.715 0.500
0.260 0.391 0.869
0.316 0.183 0.133
0.317 0.071 0.246
0.353 0.853 0.500
0.416 0.000 0.416
0.471 0.785 0.686
0.477 0.609 0.869
0.523 0.391 0.131
0.529 0.215 0.314
0.584 0.000 0.584
0.647 0.147 0.500
0.683 0.929 0.754
0.684 0.817 0.867
0.740 0.609 0.131
0.785 0.285 0.500
0.825 0.071 0.754
0.826 0.420 0.407
0.901 0.215 0.686
0.951 0.817 0.133
0.987 0.580 0.407
0.075 0.344 0.731
0.125 0.125 0.000
0.139 0.000 0.139
0.210 0.285 0.924
0.309 0.500 0.809
0.361 0.285 0.076
0.388 0.656 0.731
0.440 0.440 0.000
0.560 0.560 0.000
0.612 0.344 0.269
0.639 0.715 0.924
0.691 0.500 0.191
0.790 0.715 0.076
0.861 0.000 0.861
0.875 0.875 0.000
0.925 0.656 0.269

---

Entry 4:
Hf4P (PBE-GGA, optimized geometry); offset from the most stable computed form = 281.1 meV per atom; space-group type = No. 221; volume = 114 Å³/f.u.; total DFT energy (no corrections) = -9.26 eV/atom
1.0
4.843 0.000 0.000
0.000 4.843 0.000
0.000 0.000 4.843
Hf P
4 1
Direct
0.000 0.000 0.000
0.000 0.500 0.500
0.500 0.000 0.500
0.500 0.500 0.000
0.500 0.500 0.500

---

Entry 5:
HfP4 (PBE-GGA, optimized geometry); space-group type = No. 221; volume = 121 Å³/f.u.; total DFT energy (no corrections) = -5.45 eV/atom
1.0
4.944 0.000 0.000
0.000 4.944 0.000
0.000 0.000 4.944
Hf P
1 4
Direct
0.000 0.000 0.000
0.000 0.000 0.500
0.000 0.500 0.000
0.500 0.000 0.000
0.500 0.500 0.500

---

Entry 6:
Hf2P (PBE-GGA, optimized geometry); space-group type = No. 58; volume = 55 Å³/f.u.; total DFT energy (no corrections) = -9.44 eV/atom
1.0
12.272 0.000 0.000
0.000 15.086 0.000
0.000 0.000 3.596
Hf P
24 12
Direct
0.026 0.107 0.000
0.088 0.576 0.000
0.097 0.746 0.500
0.117 0.416 0.500
0.159 0.978 0.500
0.187 0.209 0.500
0.313 0.709 0.000
0.341 0.478 0.000
0.383 0.916 0.000
0.403 0.246 0.000
0.412 0.076 0.500
0.474 0.607 0.500
0.526 0.393 0.500
0.588 0.924 0.500
0.597 0.754 0.000
0.617 0.084 0.000
0.659 0.522 0.000
0.687 0.291 0.000
0.813 0.791 0.500
0.841 0.022 0.500
0.883 0.584 0.500
0.903 0.254 0.500
0.912 0.424 0.000
0.974 0.893 0.000
0.057 0.289 0.000
0.187 0.850 0.000
0.246 0.590 0.500
0.254 0.090 0.000
0.313 0.350 0.500
0.443 0.789 0.500
0.557 0.211 0.500
0.687 0.650 0.500
0.746 0.910 0.000
0.754 0.410 0.500
0.813 0.150 0.000
0.943 0.711 0.000

---

Entry 7:
Hf5P2 (PBE-GGA, optimized geometry); space-group type = No. 15; volume = 135 Å³/f.u.; total DFT energy (no corrections) = -9.45 eV/atom
1.0
6.978 -2.968 0.000
6.978 2.968 0.000
-0.707 0.000 6.534
Hf P
10 4
Direct
0.108 0.334 0.297
0.110 0.890 0.750
0.314 0.496 0.071
0.334 0.108 0.797
0.496 0.314 0.571
0.504 0.686 0.429
0.666 0.892 0.203
0.686 0.504 0.929
0.890 0.110 0.250
0.892 0.666 0.703
0.088 0.702 0.410
0.298 0.912 0.090
0.702 0.088 0.910
0.912 0.298 0.590

---

Entry 8:
Hf4P (PBE-GGA, optimized geometry); offset from the most stable computed form = 0.0 meV per atom; space-group type = No. 122; volume = 103 Å³/f.u.; total DFT energy (no corrections) = -9.54 eV/atom
1.0
-4.090 4.090 3.077
4.090 -4.090 3.077
4.090 4.090 -3.077
Hf P
8 2
Direct
0.057 0.801 0.135
0.078 0.943 0.744
0.084 0.449 0.756
0.199 0.334 0.256
0.551 0.307 0.635
0.666 0.922 0.865
0.672 0.916 0.365
0.693 0.328 0.244
0.250 0.750 0.500
0.500 0.500 0.000

---

Fermi-level density of states per entry: 7.89 4.95 18.01 5.79 5.02 19.81 9.88 10.72 states/eV/cell
DFT formation energy per entry: 0.10 -1.12 -1.09 -0.22 0.87 -1.01 -0.80 -0.50 eV/atom